# Np2Se5, optimized geometry, DFT GGA-PBE
# energy above the lowest structure with this stoichiometry = 0 meV per atom
# electronic total energy = -7.15 eV per atom
data_Np2Se5
_symmetry_space_group_name_H-M 'P 42/n m c'
_symmetry_Int_Tables_number 137
_cell_length_a 5.4805
_cell_length_b 5.4805
_cell_length_c 10.5621
_cell_angle_alpha 90.00
_cell_angle_beta 90.00
_cell_angle_gamma 90.00
loop_
_symmetry_equiv_pos_as_xyz
'x,y,z'
'-x,-y,-z'
'-y+1/2,x,z+1/2'
'y+1/2,-x,-z+1/2'
'-x+1/2,-y+1/2,z'
'x+1/2,y+1/2,-z'
'y,-x+1/2,z+1/2'
'-y,x+1/2,-z+1/2'
'x+1/2,-y,-z'
'-x+1/2,y,z'
'-y,-x,-z+1/2'
'y,x,z+1/2'
'-x,y+1/2,-z'
'x,-y+1/2,z'
'y+1/2,x+1/2,-z+1/2'
'-y+1/2,-x+1/2,z+1/2'
loop_
_atom_site_label
_atom_site_fract_x
_atom_site_fract_y
_atom_site_fract_z
_atom_site_occupancy
Np1 0.2500 0.2500 0.1512 1
Se1 0.0066 0.7500 0.1024 1
Se2 0.2500 0.7500 0.7500 1